Entry from Alexandria via LeMat-Bulk: an optimized crystal structure of LuI3O11 (PBE).

Raw formation energy in kJ/mol of atoms: -76.70
Magnetization in μB/atom: 0.13
Total DFT energy (no corrections) in eV/atom: -5.042

a b c (Å): 7.235 8.067 9.720
angles (deg): 75.93 84.13 69.53
Sites, in units of the cell vectors:
Lu (0.236, 0.127, 0.145)
Lu (0.764, 0.873, 0.855)
I (0.191, 0.776, 0.485)
I (0.247, 0.906, 0.847)
I (0.390, 0.348, 0.805)
I (0.610, 0.652, 0.195)
I (0.753, 0.094, 0.153)
I (0.809, 0.224, 0.515)
O (0.110, 0.748, 0.871)
O (0.114, 0.001, 0.352)
O (0.174, 0.368, 0.294)
O (0.200, 0.314, 0.941)
O (0.215, 0.935, 0.033)
O (0.225, 0.457, 0.658)
O (0.228, 0.321, 0.418)
O (0.350, 0.638, 0.368)
O (0.350, 0.821, 0.594)
O (0.479, 0.104, 0.793)
O (0.496, 0.247, 0.129)
O (0.504, 0.753, 0.871)
O (0.521, 0.896, 0.207)
O (0.650, 0.179, 0.406)
O (0.650, 0.362, 0.632)
O (0.772, 0.679, 0.582)
O (0.775, 0.543, 0.342)
O (0.785, 0.065, 0.967)
O (0.800, 0.686, 0.059)
O (0.826, 0.632, 0.706)
O (0.886, 0.999, 0.648)
O (0.890, 0.252, 0.129)

***

Entry from Alexandria via LeMat-Bulk: an optimized crystal structure of LuI3O9 (PBE).

Raw formation energy in kJ/mol of atoms: -96.35
Magnetization in μB/atom: 0.00
Total DFT energy (no corrections) in eV/atom: -5.137

a b c (Å): 8.737 6.274 16.647
angles (deg): 90.00 114.86 90.00
Sites, in units of the cell vectors:
Lu (0.154, 0.231, 0.112)
Lu (0.154, 0.269, 0.612)
Lu (0.846, 0.731, 0.388)
Lu (0.846, 0.769, 0.888)
I (0.069, 0.209, 0.361)
I (0.069, 0.291, 0.861)
I (0.347, 0.652, 0.515)
I (0.347, 0.848, 0.015)
I (0.413, 0.586, 0.801)
I (0.413, 0.914, 0.301)
I (0.587, 0.086, 0.699)
I (0.587, 0.414, 0.199)
I (0.653, 0.152, 0.985)
I (0.653, 0.348, 0.485)
I (0.931, 0.709, 0.139)
I (0.931, 0.791, 0.639)
O (0.073, 0.021, 0.684)
O (0.073, 0.479, 0.184)
O (0.096, 0.582, 0.671)
O (0.096, 0.918, 0.171)
O (0.116, 0.167, 0.476)
O (0.116, 0.333, 0.976)
O (0.117, 0.677, 0.467)
O (0.117, 0.823, 0.967)
O (0.336, 0.572, 0.888)
O (0.336, 0.928, 0.388)
O (0.348, 0.054, 0.935)
O (0.348, 0.446, 0.435)
O (0.350, 0.184, 0.257)
O (0.350, 0.316, 0.757)
O (0.360, 0.019, 0.108)
O (0.360, 0.481, 0.608)
O (0.363, 0.018, 0.634)
O (0.363, 0.482, 0.134)
O (0.637, 0.518, 0.866)
O (0.637, 0.982, 0.366)
O (0.640, 0.519, 0.392)
O (0.640, 0.981, 0.892)
O (0.650, 0.684, 0.243)
O (0.650, 0.816, 0.743)
O (0.652, 0.554, 0.565)
O (0.652, 0.946, 0.065)
O (0.664, 0.072, 0.612)
O (0.664, 0.428, 0.112)
O (0.883, 0.177, 0.033)
O (0.883, 0.323, 0.533)
O (0.884, 0.667, 0.024)
O (0.884, 0.833, 0.524)
O (0.904, 0.082, 0.829)
O (0.904, 0.418, 0.329)
O (0.927, 0.521, 0.816)
O (0.927, 0.979, 0.316)

***

Entry from Alexandria via LeMat-Bulk: an optimized crystal structure of Lu2OsI (PBE).

Raw formation energy in kJ/mol of atoms: -45.00
Magnetization in μB/atom: 0.00
Total DFT energy (no corrections) in eV/atom: -5.922

a b c (Å): 3.425 3.425 8.297
angles (deg): 90.00 90.00 90.00
Sites, in units of the cell vectors:
Lu (0.000, 0.000, 0.194)
Lu (0.000, 0.000, 0.806)
Os (0.500, 0.500, 0.000)
I (0.500, 0.500, 0.500)